[1]
The following is a GGA-PBE calculation of a geometry-optimized Li3Er3SiGe2 structure, from OQMD.

Geometry as CIF:
```
data_Li3Er3SiGe2
_chemical_formula_sum 'Li3 Er3 Si1 Ge2'
_cell_length_a 6.9619
_cell_length_b 6.9619
_cell_length_c 4.2166
_cell_angle_alpha 90.00
_cell_angle_beta 90.00
_cell_angle_gamma 120.00
_space_group_name_H-M_alt 'P -6 2 m'
_space_group_IT_number 189
_space_group_name_Hall 'P -6 -2'
loop_
_atom_site_label
_atom_site_fract_x
_atom_site_fract_y
_atom_site_fract_z
Li1 0.0000 0.7696 0.0000
Er1 0.0000 0.4256 0.5000
Si1 0.0000 0.0000 0.5000
Ge1 0.3333 0.6667 0.0000
```

Results
- calculated total energy (eV per formula unit) = -40.10
- mass density (g cm⁻³) = 6.53

[2]
The following is a GGA-PBE calculation of a geometry-optimized ErLuGe structure, from OQMD.

Geometry as CIF:
```
data_ErLuGe
_chemical_formula_sum 'Er4 Lu4 Ge4'
_cell_length_a 6.7834
_cell_length_b 6.7834
_cell_length_c 6.7834
_cell_angle_alpha 90.00
_cell_angle_beta 90.00
_cell_angle_gamma 90.00
_space_group_name_H-M_alt 'F -4 3 m'
_space_group_IT_number 216
_space_group_name_Hall 'F -4 2 3'
loop_
_atom_site_label
_atom_site_fract_x
_atom_site_fract_y
_atom_site_fract_z
Er1 0.0000 0.0000 0.0000
Lu1 0.0000 0.0000 0.5000
Ge1 0.2500 0.2500 0.2500
```

Results
- calculated total energy (eV per formula unit) = -15.20
- mass density (g cm⁻³) = 8.83

[3]
The following is a GGA-PBE calculation of a geometry-optimized ErLuNb2Ge2 structure, from OQMD.

Geometry as CIF:
```
data_ErLuNb2Ge2
_chemical_formula_sum 'Er1 Lu1 Nb2 Ge2'
_cell_length_a 4.0106
_cell_length_b 4.0106
_cell_length_c 7.7255
_cell_angle_alpha 90.00
_cell_angle_beta 90.00
_cell_angle_gamma 90.00
_space_group_name_H-M_alt 'P 4 m m'
_space_group_IT_number 99
loop_
_space_group_symop_operation_xyz
'x,y,z'
'-y,x,z'
'-x,-y,z'
'y,-x,z'
'-x,y,z'
'y,x,z'
'x,-y,z'
'-y,-x,z'
loop_
_atom_site_label
_atom_site_fract_x
_atom_site_fract_y
_atom_site_fract_z
Er1 0.0000 0.0000 0.0000
Lu1 0.5000 0.5000 0.7050
Nb1 0.0000 0.5000 0.3542
Ge1 0.0000 0.0000 0.6050
Ge2 0.5000 0.5000 0.1034
```

Results
- calculated total energy (eV per formula unit) = -42.35
- mass density (g cm⁻³) = 9.00

[4]
The following is a GGA-PBE calculation of a geometry-optimized ErLuNiGe2 structure, from OQMD.

Geometry as CIF:
```
data_ErLuNiGe2
_chemical_formula_sum 'Er4 Lu4 Ni4 Ge8'
_cell_length_a 10.2639
_cell_length_b 4.1792
_cell_length_c 10.0639
_cell_angle_alpha 90.00
_cell_angle_beta 117.54
_cell_angle_gamma 90.00
_space_group_name_H-M_alt 'C 1 2/m 1'
_space_group_IT_number 12
loop_
_space_group_symop_operation_xyz
'x,y,z'
'-x,-y,-z'
'-x,y,-z'
'x,-y,z'
'x+1/2,y+1/2,z'
'-x+1/2,-y+1/2,-z'
'-x+1/2,y+1/2,-z'
'x+1/2,-y+1/2,z'
loop_
_atom_site_label
_atom_site_fract_x
_atom_site_fract_y
_atom_site_fract_z
Er1 0.1866 0.0000 0.1097
Lu1 0.0081 0.0000 0.3328
Ni1 0.2234 0.5000 0.3492
Ge1 0.0192 0.5000 0.8772
Ge2 0.1519 0.5000 0.5643
```

Results
- calculated total energy (eV per formula unit) = -27.97
- mass density (g cm⁻³) = 9.48

[5]
The following is a GGA-PBE calculation of a geometry-optimized ErLuGe2Os structure, from OQMD.

Geometry as CIF:
```
data_ErLuGe2Os
_chemical_formula_sum 'Er4 Lu4 Ge8 Os4'
_cell_length_a 10.6480
_cell_length_b 4.2678
_cell_length_c 10.0051
_cell_angle_alpha 90.00
_cell_angle_beta 118.01
_cell_angle_gamma 90.00
_space_group_name_H-M_alt 'C 1 2/m 1'
_space_group_IT_number 12
loop_
_space_group_symop_operation_xyz
'x,y,z'
'-x,-y,-z'
'-x,y,-z'
'x,-y,z'
'x+1/2,y+1/2,z'
'-x+1/2,-y+1/2,-z'
'-x+1/2,y+1/2,-z'
'x+1/2,-y+1/2,z'
loop_
_atom_site_label
_atom_site_fract_x
_atom_site_fract_y
_atom_site_fract_z
Er1 0.0036 0.0000 0.1750
Lu1 0.1838 0.0000 0.6158
Ge1 0.0149 0.5000 0.3768
Ge2 0.1416 0.5000 0.0613
Os1 0.2299 0.5000 0.8663
```

Results
- calculated total energy (eV per formula unit) = -32.98
- mass density (g cm⁻³) = 11.21

[6]
The following is a GGA-PBE calculation of a geometry-optimized ErLuGe2Os structure, from OQMD.

Geometry as CIF:
```
data_ErLuGe2Os
_chemical_formula_sum 'Er4 Lu4 Ge8 Os4'
_cell_length_a 10.6118
_cell_length_b 4.2717
_cell_length_c 9.9878
_cell_angle_alpha 90.00
_cell_angle_beta 117.76
_cell_angle_gamma 90.00
_space_group_name_H-M_alt 'C 1 2/m 1'
_space_group_IT_number 12
loop_
_space_group_symop_operation_xyz
'x,y,z'
'-x,-y,-z'
'-x,y,-z'
'x,-y,z'
'x+1/2,y+1/2,z'
'-x+1/2,-y+1/2,-z'
'-x+1/2,y+1/2,-z'
'x+1/2,-y+1/2,z'
loop_
_atom_site_label
_atom_site_fract_x
_atom_site_fract_y
_atom_site_fract_z
Er1 0.1846 0.0000 0.1153
Lu1 0.0027 0.0000 0.6734
Ge1 0.0154 0.5000 0.8754
Ge2 0.1401 0.5000 0.5617
Os1 0.2316 0.5000 0.3679
```

Results
- calculated total energy (eV per formula unit) = -33.04
- mass density (g cm⁻³) = 11.24

[7]
The following is a GGA-PBE calculation of a geometry-optimized ErLuSiGeOs structure, from OQMD.

Geometry as CIF:
```
data_ErLuSiGeOs
_chemical_formula_sum 'Er4 Lu4 Si4 Ge4 Os4'
_cell_length_a 10.5775
_cell_length_b 4.2645
_cell_length_c 9.8586
_cell_angle_alpha 90.00
_cell_angle_beta 118.06
_cell_angle_gamma 90.00
_space_group_name_H-M_alt 'C 1 2/m 1'
_space_group_IT_number 12
loop_
_space_group_symop_operation_xyz
'x,y,z'
'-x,-y,-z'
'-x,y,-z'
'x,-y,z'
'x+1/2,y+1/2,z'
'-x+1/2,-y+1/2,-z'
'-x+1/2,y+1/2,-z'
'x+1/2,-y+1/2,z'
loop_
_atom_site_label
_atom_site_fract_x
_atom_site_fract_y
_atom_site_fract_z
Er1 0.1838 0.0000 0.1090
Lu1 0.0036 0.0000 0.6785
Si1 0.0054 0.5000 0.8762
Ge1 0.1402 0.5000 0.5628
Os1 0.2274 0.5000 0.3642
```

Results
- calculated total energy (eV per formula unit) = -33.86
- mass density (g cm⁻³) = 10.72

[8]
The following is a GGA-PBE calculation of a geometry-optimized ErLuSiGeOs structure, from OQMD.

Geometry as CIF:
```
data_ErLuSiGeOs
_chemical_formula_sum 'Er4 Lu4 Si4 Ge4 Os4'
_cell_length_a 10.5052
_cell_length_b 4.1983
_cell_length_c 9.9767
_cell_angle_alpha 90.00
_cell_angle_beta 117.96
_cell_angle_gamma 90.00
_space_group_name_H-M_alt 'C 1 2/m 1'
_space_group_IT_number 12
loop_
_space_group_symop_operation_xyz
'x,y,z'
'-x,-y,-z'
'-x,y,-z'
'x,-y,z'
'x+1/2,y+1/2,z'
'-x+1/2,-y+1/2,-z'
'-x+1/2,y+1/2,-z'
'x+1/2,-y+1/2,z'
loop_
_atom_site_label
_atom_site_fract_x
_atom_site_fract_y
_atom_site_fract_z
Er1 0.1862 0.0000 0.1168
Lu1 0.0045 0.0000 0.6720
Si1 0.1401 0.5000 0.5592
Ge1 0.0147 0.5000 0.8743
Os1 0.2350 0.5000 0.3753
```

Results
- calculated total energy (eV per formula unit) = -34.45
- mass density (g cm⁻³) = 10.82

[9]
The following is a GGA-PBE calculation of a geometry-optimized ErLuSiGeOs structure, from OQMD.

Geometry as CIF:
```
data_ErLuSiGeOs
_chemical_formula_sum 'Er4 Lu4 Si4 Ge4 Os4'
_cell_length_a 10.6291
_cell_length_b 4.2634
_cell_length_c 9.8575
_cell_angle_alpha 90.00
_cell_angle_beta 118.36
_cell_angle_gamma 90.00
_space_group_name_H-M_alt 'C 1 2/m 1'
_space_group_IT_number 12
loop_
_space_group_symop_operation_xyz
'x,y,z'
'-x,-y,-z'
'-x,y,-z'
'x,-y,z'
'x+1/2,y+1/2,z'
'-x+1/2,-y+1/2,-z'
'-x+1/2,y+1/2,-z'
'x+1/2,-y+1/2,z'
loop_
_atom_site_label
_atom_site_fract_x
_atom_site_fract_y
_atom_site_fract_z
Er1 0.0066 0.0000 0.1810
Lu1 0.1816 0.0000 0.6090
Si1 0.0053 0.5000 0.3776
Ge1 0.1416 0.5000 0.0632
Os1 0.2264 0.5000 0.8634
```

Results
- calculated total energy (eV per formula unit) = -33.82
- mass density (g cm⁻³) = 10.70

[10]
The following is a GGA-PBE calculation of a geometry-optimized ErLuSiGeOs structure, from OQMD.

Geometry as CIF:
```
data_ErLuSiGeOs
_chemical_formula_sum 'Er4 Lu4 Si4 Ge4 Os4'
_cell_length_a 10.5592
_cell_length_b 4.1977
_cell_length_c 9.9823
_cell_angle_alpha 90.00
_cell_angle_beta 118.35
_cell_angle_gamma 90.00
_space_group_name_H-M_alt 'C 1 2/m 1'
_space_group_IT_number 12
loop_
_space_group_symop_operation_xyz
'x,y,z'
'-x,-y,-z'
'-x,y,-z'
'x,-y,z'
'x+1/2,y+1/2,z'
'-x+1/2,-y+1/2,-z'
'-x+1/2,y+1/2,-z'
'x+1/2,-y+1/2,z'
loop_
_atom_site_label
_atom_site_fract_x
_atom_site_fract_y
_atom_site_fract_z
Er1 0.0075 0.0000 0.1750
Lu1 0.1840 0.0000 0.6172
Si1 0.1420 0.5000 0.0598
Ge1 0.0161 0.5000 0.3769
Os1 0.2329 0.5000 0.8735
```

Results
- calculated total energy (eV per formula unit) = -34.37
- mass density (g cm⁻³) = 10.80

[11]
The following is a GGA-PBE calculation of a geometry-optimized ErLu2Ge4Pd4 structure, from OQMD.

Geometry as CIF:
```
data_ErLu2Ge4Pd4
_chemical_formula_sum 'Er2 Lu4 Ge8 Pd8'
_cell_length_a 4.1257
_cell_length_b 7.1007
_cell_length_c 13.8599
_cell_angle_alpha 90.00
_cell_angle_beta 90.00
_cell_angle_gamma 90.00
_space_group_name_H-M_alt 'I m m m'
_space_group_IT_number 71
_space_group_name_Hall '-I 2 2'
loop_
_atom_site_label
_atom_site_fract_x
_atom_site_fract_y
_atom_site_fract_z
Er1 0.0000 0.0000 0.0000
Lu1 0.0000 0.5000 0.1254
Ge1 0.0000 0.0000 0.2185
Ge2 0.0000 0.1873 0.5000
Pd1 0.0000 0.2984 0.3255
```

Results
- calculated total energy (eV per formula unit) = -62.67
- mass density (g cm⁻³) = 10.09

[12]
The following is a GGA-PBE calculation of a geometry-optimized ErLuGe2Pt structure, from OQMD.

Geometry as CIF:
```
data_ErLuGe2Pt
_chemical_formula_sum 'Er4 Lu4 Ge8 Pt4'
_cell_length_a 10.3567
_cell_length_b 4.3023
_cell_length_c 10.2709
_cell_angle_alpha 90.00
_cell_angle_beta 117.26
_cell_angle_gamma 90.00
_space_group_name_H-M_alt 'C 1 2/m 1'
_space_group_IT_number 12
loop_
_space_group_symop_operation_xyz
'x,y,z'
'-x,-y,-z'
'-x,y,-z'
'x,-y,z'
'x+1/2,y+1/2,z'
'-x+1/2,-y+1/2,-z'
'-x+1/2,y+1/2,-z'
'x+1/2,-y+1/2,z'
loop_
_atom_site_label
_atom_site_fract_x
_atom_site_fract_y
_atom_site_fract_z
Er1 0.0086 0.0000 0.3267
Lu1 0.1873 0.0000 0.1136
Ge1 0.0294 0.5000 0.8889
Ge2 0.1425 0.5000 0.5522
Pt1 0.2265 0.5000 0.3315
```

Results
- calculated total energy (eV per formula unit) = -29.35
- mass density (g cm⁻³) = 11.14